1.
# Na2Sn2Au3

A geometry-optimized Na2Sn2Au3 structure (PBE-GGA, Alexandria).

The energy relative to the lowest polymorph listed for this composition comes out at 0.00 eV per formula unit.

The structure belongs to space group C2/m (No. 12); the cell edges are 11.798, 4.448 and 7.492 Å and the angles 90.00°, 120.45° and 90.00°. Symmetry generates all atoms from Na at (0.140, 0.000, 0.264), Sn at (0.146, 0.000, 0.752), Au at (0.000, 0.500, 0.500) and Au at (0.093, 0.500, 0.936).

2.
# Na2Sn4Au3

A geometry-optimized Na2Sn4Au3 structure (PBE-GGA, Alexandria).

The structure belongs to space group Cmce (No. 64); the cell edges are 6.395, 16.120 and 8.568 Å and the angles 90.00°, 90.00° and 90.00°. Symmetry generates all atoms from Na at (0.000, 0.109, 0.096), Sn at (0.000, 0.183, 0.484), Sn at (0.250, 0.061, 0.750), Au at (0.000, 0.000, 0.500) and Au at (0.250, 0.235, 0.750).

3.
# NaSn2Au3

A geometry-optimized NaSn2Au3 structure (PBE-GGA, Alexandria).

The energy relative to the lowest polymorph listed for this composition comes out at 0.12 eV per formula unit.

The structure belongs to space group Pmmn (No. 59, origin choice 2); the cell edges are 4.861, 15.518 and 3.756 Å and the angles 90.00°, 90.00° and 90.00°. Symmetry generates all atoms from Na at (0.250, 0.250, 0.152), Sn at (0.250, 0.611, 0.838), Au at (0.250, 0.041, 0.361) and Au at (0.250, 0.750, 0.339).

4.
# Na3Sn2Au3

A geometry-optimized Na3Sn2Au3 structure (PBE-GGA, Alexandria).

The structure belongs to space group Pnma (No. 62); the cell edges are 7.895, 16.419 and 6.363 Å and the angles 90.00°, 90.00° and 90.00°. Symmetry generates all atoms from Na at (0.011, 0.101, 0.146), Na at (0.173, 0.250, 0.544), Sn at (0.135, 0.611, 0.356), Au at (0.172, 0.033, 0.574) and Au at (0.226, 0.750, 0.562).

5.
# Na5SnAu3

A geometry-optimized Na5SnAu3 structure (PBE-GGA, Alexandria).

The structure belongs to space group C2/m (No. 12); the cell edges are 13.789, 9.637 and 8.795 Å and the angles 90.00°, 108.89° and 90.00°. Symmetry generates all atoms from Na at (0.000, 0.206, 0.000), Na at (0.030, 0.000, 0.695), Na at (0.182, 0.297, 0.628), Na at (0.220, 0.500, 0.025), Sn at (0.113, 0.500, 0.305), Au at (0.000, 0.500, 0.000), Au at (0.000, 0.500, 0.500), Au at (0.151, 0.000, 0.187) and Au at (0.185, 0.000, 0.521).

6.
# Na3SnAu

A geometry-optimized Na3SnAu structure (PBE-GGA, Alexandria).

The energy relative to the lowest polymorph listed for this composition comes out at 1.39 eV per formula unit.

The structure belongs to space group Pm-3m (No. 221); the cell edges are 5.470, 5.470 and 5.470 Å and the angles 90.00°, 90.00° and 90.00°. Symmetry generates all atoms from Na at (0.000, 0.000, 0.500), Sn at (0.500, 0.500, 0.500) and Au at (0.000, 0.000, 0.000).

7.
# NaSnAu3

A geometry-optimized NaSnAu3 structure (PBE-GGA, Alexandria).

The structure belongs to space group Pm-3m (No. 221); the cell edges are 5.009, 5.009 and 5.009 Å and the angles 90.00°, 90.00° and 90.00°. Symmetry generates all atoms from Na at (0.000, 0.000, 0.000), Sn at (0.500, 0.500, 0.500) and Au at (0.000, 0.000, 0.500).

8.
# NaSnAu

A geometry-optimized NaSnAu structure (PBE-GGA, Alexandria).

The structure belongs to space group Pnma (No. 62); the cell edges are 7.576, 4.659 and 8.200 Å and the angles 90.00°, 90.00° and 90.00°. Symmetry generates all atoms from Na at (0.015, 0.250, 0.176), Sn at (0.165, 0.250, 0.567) and Au at (0.208, 0.750, 0.382).

9.
# Na2SnAu5

A geometry-optimized Na2SnAu5 structure (PBE-GGA, Alexandria).

The structure belongs to space group I4mm (No. 107); the cell edges are 6.346, 6.346 and 7.772 Å and the angles 90.00°, 90.00° and 90.00°. Symmetry generates all atoms from Na at (0.000, 0.500, 0.000), Sn at (0.000, 0.000, 0.499), Au at (0.000, 0.000, 0.001) and Au at (0.250, 0.250, 0.250).

10.
# Na8Sn2Au

A geometry-optimized Na8Sn2Au structure (PBE-GGA, Alexandria).

The energy relative to the lowest polymorph listed for this composition comes out at 0.00 eV per formula unit.

The structure belongs to space group C2/m (No. 12); the cell edges are 17.688, 5.458 and 7.169 Å and the angles 90.00°, 113.86° and 90.00°. Symmetry generates all atoms from Na at (0.000, 0.000, 0.233), Na at (0.144, 0.500, 0.907), Na at (0.145, 0.500, 0.384), Na at (0.187, 0.000, 0.688), Sn at (0.180, 0.000, 0.180) and Au at (0.000, 0.500, 0.500).

11.
# NaSn3Au3

A geometry-optimized NaSn3Au3 structure (PBE-GGA, Alexandria).

The energy relative to the lowest polymorph listed for this composition comes out at 0.13 eV per formula unit.

The structure belongs to space group P6_3/m (No. 176); the cell edges are 8.9195, 8.9195 and 4.8352 Å and the angles 90.00°, 90.00° and 120.00°. Symmetry generates all atoms from Na at (0.3333, 0.6667, 0.2500), Sn at (0.0235, 0.2679, 0.7500) and Au at (0.0699, 0.6081, 0.7500).

12.
# NaSnAu

A geometry-optimized NaSnAu structure (PBE-GGA, Alexandria).

The structure belongs to space group I4mm (No. 107); the cell edges are 3.745, 3.745 and 10.544 Å and the angles 90.00°, 90.00° and 90.00°. Symmetry generates all atoms from Na at (0.000, 0.000, 0.000), Sn at (0.000, 0.000, 0.703) and Au at (0.000, 0.000, 0.305).

13.
# NaSn4Au2

A geometry-optimized NaSn4Au2 structure (PBE-GGA, Alexandria).

The energy relative to the lowest polymorph listed for this composition comes out at 0.00 eV per formula unit.

The structure belongs to space group Pnma (No. 62); the cell edges are 19.503, 4.563 and 7.835 Å and the angles 90.00°, 90.00° and 90.00°. Symmetry generates all atoms from Na at (0.143, 0.250, 0.041), Sn at (0.034, 0.750, 0.867), Sn at (0.067, 0.250, 0.489), Sn at (0.187, 0.750, 0.322), Sn at (0.187, 0.750, 0.743), Au at (0.044, 0.750, 0.243) and Au at (0.220, 0.250, 0.535).

14.
# NaSnAu3

A geometry-optimized NaSnAu3 structure (PBE-GGA, Alexandria).

The structure belongs to space group Pm-3m (No. 221); the cell edges are 5.276, 5.276 and 5.276 Å and the angles 90.00°, 90.00° and 90.00°. Symmetry generates all atoms from Na at (0.000, 0.000, 0.000), Sn at (0.500, 0.500, 0.500) and Au at (0.000, 0.500, 0.500).

15.
# Na12Sn3Au

A geometry-optimized Na12Sn3Au structure (PBE-GGA, Alexandria).

The structure belongs to space group P4/mmm (No. 123); the cell edges are 4.833, 4.833 and 19.270 Å and the angles 90.00°, 90.00° and 90.00°. Symmetry generates all atoms from Na at (0.000, 0.000, 0.000), Na at (0.000, 0.000, 0.241), Na at (0.000, 0.000, 0.500), Na at (0.000, 0.500, 0.115), Na at (0.000, 0.500, 0.371), Sn at (0.500, 0.500, 0.242), Sn at (0.500, 0.500, 0.500) and Au at (0.500, 0.500, 0.000).

16.
# Na2SnAu

A geometry-optimized Na2SnAu structure (PBE-GGA, Alexandria).

The structure belongs to space group Cmcm (No. 63); the cell edges are 10.021, 7.138 and 5.657 Å and the angles 90.00°, 90.00° and 90.00°. Symmetry generates all atoms from Na at (0.188, 0.191, 0.250), Sn at (0.000, 0.160, 0.750) and Au at (0.000, 0.500, 0.000).

17.
# Na4Sn5Au2

A geometry-optimized Na4Sn5Au2 structure (PBE-GGA, Alexandria).

The structure belongs to space group P2/m (No. 10); the cell edges are 7.769, 3.458 and 10.199 Å and the angles 90.00°, 94.25° and 90.00°. Symmetry generates all atoms from Na at (0.166, 0.000, 0.384), Na at (0.254, 0.000, 0.949), Sn at (0.190, 0.500, 0.674), Sn at (0.434, 0.500, 0.198), Sn at (0.500, 0.500, 0.500) and Au at (0.064, 0.500, 0.140).

18.
# NaSr2Sn3Au4

A geometry-optimized NaSr2Sn3Au4 structure (PBE-GGA, Alexandria).

The structure belongs to space group P-4m2 (No. 115); the cell edges are 4.844, 4.844 and 11.041 Å and the angles 90.00°, 90.00° and 90.00°. Symmetry generates all atoms from Na at (0.000, 0.000, 0.000), Sr at (0.000, 0.500, 0.734), Sn at (0.000, 0.500, 0.373), Sn at (0.500, 0.500, 0.000), Au at (0.000, 0.000, 0.500), Au at (0.000, 0.500, 0.130) and Au at (0.500, 0.500, 0.500).

19.
# Na2Sr2Sn4Au

A geometry-optimized Na2Sr2Sn4Au structure (PBE-GGA, Alexandria).

The structure belongs to space group I4/mmm (No. 139); the cell edges are 7.182, 7.182 and 10.144 Å and the angles 90.00°, 90.00° and 90.00°. Symmetry generates all atoms from Na at (0.000, 0.000, 0.224), Sr at (0.000, 0.500, 0.250), Sn at (0.225, 0.225, 0.000) and Au at (0.000, 0.000, 0.500).

20.
# NaSr2Sn4Au3

A geometry-optimized NaSr2Sn4Au3 structure (PBE-GGA, Alexandria).

The structure belongs to space group P-4m2 (No. 115); the cell edges are 4.749, 4.749 and 11.856 Å and the angles 90.00°, 90.00° and 90.00°. Symmetry generates all atoms from Na at (0.000, 0.000, 0.000), Sr at (0.000, 0.500, 0.749), Sn at (0.000, 0.000, 0.500), Sn at (0.000, 0.500, 0.141), Sn at (0.500, 0.500, 0.500), Au at (0.000, 0.500, 0.368) and Au at (0.500, 0.500, 0.000).

Number 1: raw total energy -3.198 eV/atom, energy of formation -273 meV/atom, magnetization 0.000 μB per formula unit. Number 2: raw total energy -3.387 eV/atom, energy of formation -222 meV/atom, magnetization 0.000 μB per formula unit. Number 3: raw total energy -3.391 eV/atom, energy of formation -198 meV/atom, magnetization 0.000 μB per formula unit. Number 4: raw total energy -3.013 eV/atom, energy of formation -289 meV/atom, magnetization 0.000 μB per formula unit. Number 5: raw total energy -2.463 eV/atom, energy of formation -193 meV/atom, magnetization 0.000 μB per formula unit. Number 6: raw total energy -2.200 eV/atom, energy of formation 47 meV/atom, magnetization 0.000 μB per formula unit. Number 7: raw total energy -2.456 eV/atom, energy of formation 574 meV/atom, magnetization 0.000 μB per formula unit. Number 8: raw total energy -3.232 eV/atom, energy of formation -366 meV/atom, magnetization 0.000 μB per formula unit. Number 9: raw total energy -3.082 eV/atom, energy of formation -203 meV/atom, magnetization 0.000 μB per formula unit. Number 10: raw total energy -2.152 eV/atom, energy of formation -167 meV/atom, magnetization 0.000 μB per formula unit. Number 11: raw total energy -3.497 eV/atom, energy of formation -188 meV/atom, magnetization 0.000 μB per formula unit. Number 12: raw total energy -3.097 eV/atom, energy of formation -231 meV/atom, magnetization 0.000 μB per formula unit. Number 13: raw total energy -3.630 eV/atom, energy of formation -218 meV/atom, magnetization 0.000 μB per formula unit. Number 14: raw total energy -3.009 eV/atom, energy of formation 22 meV/atom, magnetization 0.000 μB per formula unit. Number 15: raw total energy -2.051 eV/atom, energy of formation -106 meV/atom, magnetization 0.000 μB per formula unit. Number 16: raw total energy -2.747 eV/atom, energy of formation -267 meV/atom, magnetization 0.000 μB per formula unit. Number 17: raw total energy -3.098 eV/atom, energy of formation -203 meV/atom, magnetization 0.000 μB per formula unit. Number 18: raw total energy -3.530 eV/atom, energy of formation -550 meV/atom, magnetization 0.000 μB per formula unit. Number 19: raw total energy -3.181 eV/atom, energy of formation -371 meV/atom, magnetization 0.000 μB per formula unit. Number 20: raw total energy -3.529 eV/atom, energy of formation -477 meV/atom, magnetization 0.000 μB per formula unit.